Version one
Material: CdInPb2
Method: DFT, PBE-GGA
State: optimized geometry

Properties
**Total magnetization**: 0.000 μB per atom
**SG**: P2/m
**Mass density**: 9.19 g/cm3

Cell and atoms, written as POSCAR:
```
CdInPb2
1.0
3.448 0.000 0.000
0.000 5.328 0.000
-1.045 0.000 6.308
Cd In Pb
1 1 2
Cartesian
0.000 0.000 0.000
1.201 0.000 3.154
-0.087 2.664 4.778
2.490 2.664 1.530
```


Version two
Material: CdInPb2
Method: DFT, PBE-GGA
State: optimized geometry

Properties
**Total magnetization**: 0.000 μB per atom
**SG**: R-3m
**Mass density**: 9.24 g/cm3

Cell and atoms, written as POSCAR:
```
CdInPb2
1.0
1.694 0.978 11.600
-1.694 0.978 11.600
0.000 -1.957 11.600
Cd In Pb
1 1 2
Cartesian
0.000 0.000 0.000
0.000 0.000 17.399
0.000 0.000 8.776
0.000 0.000 26.023
```


Version three
Material: CdInPb2
Method: DFT, PBE-GGA
State: optimized geometry

Properties
**Total magnetization**: 0.000 μB per atom
**SG**: F-43m
**Mass density**: 9.24 g/cm3

Cell and atoms, written as POSCAR:
```
CdInPb2
1.0
0.000 3.864 3.864
3.864 0.000 3.864
3.864 3.864 0.000
Cd In Pb
1 1 2
Cartesian
0.000 0.000 0.000
5.796 5.796 5.796
1.932 1.932 1.932
3.864 3.864 3.864
```


Version four
Material: CdInPb2
Method: DFT, PBE-GGA
State: optimized geometry

Properties
**Total magnetization**: 0.000 μB per atom
**SG**: P4mm
**Mass density**: 9.32 g/cm3

Cell and atoms, written as POSCAR:
```
CdInPb2
1.0
3.946 0.000 0.000
0.000 3.946 0.000
0.000 0.000 7.337
Cd In Pb
1 1 2
Cartesian
0.000 0.000 0.000
1.973 1.973 1.576
0.000 0.000 3.418
1.973 1.973 5.580
```


Most stable = version two


Version one
Material: CdIn3Pb3
Method: DFT, PBE-GGA
State: optimized geometry

Properties
**Total magnetization**: 0.000 μB per atom
**SG**: R-3
**Mass density**: 8.87 g/cm3

Cell and atoms, written as POSCAR:
```
CdIn3Pb3
1.0
4.528 2.614 5.684
-4.528 2.614 5.684
0.000 -5.229 5.684
Cd In Pb
2 6 6
Cartesian
0.000 0.000 4.253
0.000 0.000 12.799
-3.911 0.780 7.150
-2.631 -2.997 9.902
1.280 -3.777 7.150
-1.280 3.777 9.902
2.631 2.997 7.150
3.911 -0.780 9.902
-1.324 -1.517 7.095
-1.976 0.388 9.957
-0.652 1.905 7.095
0.652 -1.905 9.957
1.976 -0.388 7.095
1.324 1.517 9.957
```


Version two
Material: CdIn3Pb3
Method: DFT, PBE-GGA
State: optimized geometry

Properties
**Total magnetization**: 0.000 μB per atom
**SG**: Pm-3n
**Mass density**: 6.05 g/cm3

Cell and atoms, written as POSCAR:
```
CdIn3Pb3
1.0
8.396 0.000 0.000
0.000 8.396 0.000
0.000 0.000 8.396
Cd In Pb
2 6 6
Cartesian
0.000 0.000 0.000
4.198 4.198 4.198
0.000 2.099 4.198
0.000 6.297 4.198
2.099 4.198 0.000
4.198 0.000 2.099
4.198 0.000 6.297
6.297 4.198 0.000
0.000 4.198 2.099
0.000 4.198 6.297
2.099 0.000 4.198
4.198 2.099 0.000
4.198 6.297 0.000
6.297 0.000 4.198
```


Most stable = version one


Version one
Material: CdIn4Pb5
Method: DFT, PBE-GGA
State: optimized geometry

Properties
**Total magnetization**: 0.000 μB per atom
**SG**: P4/mmm
**Mass density**: 9.17 g/cm3

Cell and atoms, written as POSCAR:
```
CdIn4Pb5
1.0
3.964 0.000 0.000
0.000 3.964 0.000
0.000 0.000 18.540
Cd In Pb
1 4 5
Cartesian
0.000 0.000 0.000
0.000 0.000 3.643
0.000 0.000 7.386
0.000 0.000 11.154
0.000 0.000 14.898
1.982 1.982 1.771
1.982 1.982 5.521
1.982 1.982 9.270
1.982 1.982 13.019
1.982 1.982 16.769
```


Version two
Material: CdIn4Pb5
Method: DFT, PBE-GGA
State: optimized geometry

Properties
**Total magnetization**: 0.000 μB per atom
**SG**: P4/mmm
**Mass density**: 9.08 g/cm3

Cell and atoms, written as POSCAR:
```
CdIn4Pb5
1.0
3.366 0.000 0.000
0.000 3.366 0.000
0.000 0.000 25.961
Cd In Pb
1 4 5
Cartesian
0.000 0.000 0.000
0.000 0.000 5.075
0.000 0.000 10.327
0.000 0.000 15.634
0.000 0.000 20.886
1.683 1.683 2.413
1.683 1.683 7.680
1.683 1.683 12.981
1.683 1.683 18.281
1.683 1.683 23.548
```


Most stable = version two